## PmThCuRh (PBE)

Data for an optimized crystal structure of PmThCuRh.

```
data_PmThCuRh
_cell_length_a 4.0640
_cell_length_b 3.9319
_cell_length_c 11.8496
_cell_angle_alpha 90.00
_cell_angle_beta 90.00
_cell_angle_gamma 90.00
_space_group_name_H-M_alt 'A m m 2'
_space_group_IT_number 38
loop_
_space_group_symop_operation_xyz
'x,y,z'
'-x,-y,z'
'-x,y,z'
'x,-y,z'
'x,y+1/2,z+1/2'
'-x,-y+1/2,z+1/2'
'-x,y+1/2,z+1/2'
'x,-y+1/2,z+1/2'
loop_
_atom_site_label
_atom_site_type_symbol
_atom_site_fract_x
_atom_site_fract_y
_atom_site_fract_z
Pm1 Pm 0.0000 0.0000 0.0000
Th1 Th 0.5000 0.0000 0.2717
Cu1 Cu 0.5000 0.0000 0.5734
Rh1 Rh 0.0000 0.0000 0.7382
```

Computed properties:
Energy above the lowest structure with this stoichiometry   0.00 eV/f.u.
Mass density   9.53 g/cm3
DFT total energy   -6.4603 eV per atom